# 1
Compound: K2Mg4Os
Source: Alexandria
Functional: PBE
Structure: optimized geometry

* crystal system: tetragonal
* calculated total energy: -17.48 eV/cell
* formation enthalpy at 0 K: 331 meV/atom

Cell: 9.753 9.753 9.753 Å, 149.12 149.12 44.23°
Sites, in units of the cell vectors:
K  0.147  0.147  0.000
K  0.853  0.853  0.000
Mg  0.000  0.500  0.500
Mg  0.361  0.361  0.000
Mg  0.500  0.000  0.500
Mg  0.639  0.639  0.000
Os  0.500  0.500  0.000


# 2
Compound: RbLi4Pu3I12
Source: Alexandria
Functional: PBE
Structure: optimized geometry

* crystal system: trigonal
* ΔE_f (raw): -2168 kJ/mol of formula units
* calculated total energy: -92.69 eV/cell

Cell: 10.421 10.421 10.421 Å, 107.46 107.46 107.46°
Sites, in units of the cell vectors:
Rb  0.000  0.000  0.000
Li  0.072  0.500  0.928
Li  0.500  0.500  0.500
Li  0.500  0.928  0.072
Li  0.928  0.072  0.500
Pu  0.000  0.564  0.436
Pu  0.436  0.000  0.564
Pu  0.564  0.436  0.000
I  0.040  0.658  0.768
I  0.092  0.908  0.500
I  0.232  0.342  0.960
I  0.341  0.659  0.500
I  0.342  0.960  0.232
I  0.500  0.092  0.908
I  0.500  0.341  0.659
I  0.658  0.768  0.040
I  0.659  0.500  0.341
I  0.768  0.040  0.658
I  0.908  0.500  0.092
I  0.960  0.232  0.342


# 3
Compound: Ce2PuIn2
Source: Alexandria
Functional: PBE
Structure: optimized geometry

* crystal system: monoclinic
* calculated total energy: -65.59 eV/cell
* formation enthalpy at 0 K: -223 meV/atom

Cell: 6.133 6.133 9.931 Å, 104.59 104.59 47.29°
Sites, in units of the cell vectors:
Ce  0.009  0.009  0.362
Ce  0.166  0.166  0.094
Ce  0.834  0.834  0.906
Ce  0.991  0.991  0.638
Pu  0.250  0.250  0.757
Pu  0.750  0.750  0.243
In  0.330  0.330  0.449
In  0.454  0.454  0.132
In  0.546  0.546  0.868
In  0.670  0.670  0.551


# 4
Compound: Tm2ThPb5
Source: Alexandria
Functional: PBE
Structure: optimized geometry

* crystal system: tetragonal
* calculated total energy: -36.94 eV/cell
* formation enthalpy at 0 K: -254 meV/atom

Cell: 6.717 6.717 6.717 Å, 106.58 106.58 115.42°
Sites, in units of the cell vectors:
Tm  0.000  0.500  0.500
Tm  0.500  0.000  0.500
Th  0.000  0.000  0.000
Pb  0.000  0.000  0.500
Pb  0.000  0.500  0.000
Pb  0.500  0.000  0.000
Pb  0.500  0.500  0.000
Pb  0.500  0.500  0.500


# 5
Compound: Pm9Nd2Ho
Source: Alexandria
Functional: PBE
Structure: optimized geometry

* crystal system: hexagonal
* calculated total energy: -56.30 eV/cell
* formation enthalpy at 0 K: 47 meV/atom

Cell: 11.513 11.513 3.556 Å, 90.00 90.00 120.00°
Sites, in units of the cell vectors:
Pm  0.000  0.500  0.000
Pm  0.172  0.344  0.500
Pm  0.172  0.828  0.500
Pm  0.344  0.172  0.500
Pm  0.500  0.000  0.000
Pm  0.500  0.500  0.000
Pm  0.656  0.828  0.500
Pm  0.828  0.172  0.500
Pm  0.828  0.656  0.500
Nd  0.333  0.667  0.000
Nd  0.667  0.333  0.000
Ho  0.000  0.000  0.000


# 6
Compound: Pm4PrSc
Source: Alexandria
Functional: PBE
Structure: optimized geometry

* crystal system: monoclinic
* calculated total energy: -29.88 eV/cell
* formation enthalpy at 0 K: 38 meV/atom

Cell: 6.176 3.618 8.830 Å, 90.00 90.33 90.00°
Sites, in units of the cell vectors:
Pm  0.162  0.000  0.323
Pm  0.332  0.500  0.666
Pm  0.668  0.500  0.334
Pm  0.838  0.000  0.677
Pr  0.500  0.000  0.000
Sc  0.000  0.500  0.000


# 7
Compound: Y3CdTe2
Source: Alexandria
Functional: PBE
Structure: optimized geometry

* crystal system: orthorhombic
* ΔE_f (raw): -548 kJ/mol of formula units
* calculated total energy: -129.09 eV/cell

Cell: 14.261 13.601 7.600 Å, 79.02 69.44 31.55°
Sites, in units of the cell vectors:
Y  0.042  0.541  0.206
Y  0.123  0.627  0.627
Y  0.206  0.710  0.042
Y  0.290  0.794  0.459
Y  0.373  0.877  0.877
Y  0.459  0.958  0.290
Y  0.541  0.042  0.710
Y  0.627  0.123  0.123
Y  0.710  0.206  0.541
Y  0.794  0.290  0.958
Y  0.877  0.373  0.373
Y  0.958  0.459  0.794
Cd  0.042  0.042  0.208
Cd  0.208  0.208  0.042
Cd  0.792  0.792  0.958
Cd  0.958  0.958  0.792
Te  0.126  0.126  0.624
Te  0.293  0.293  0.457
Te  0.376  0.376  0.874
Te  0.457  0.457  0.293
Te  0.543  0.543  0.707
Te  0.624  0.624  0.126
Te  0.707  0.707  0.543
Te  0.874  0.874  0.376


# 8
Compound: CeNd2Au6
Source: Alexandria
Functional: PBE
Structure: optimized geometry

* crystal system: hexagonal
* calculated total energy: -41.68 eV/cell
* formation enthalpy at 0 K: -728 meV/atom

Cell: 8.273 8.273 3.567 Å, 90.00 90.00 120.00°
Sites, in units of the cell vectors:
Ce  0.000  0.000  0.000
Nd  0.333  0.667  0.000
Nd  0.667  0.333  0.000
Au  0.000  0.333  0.500
Au  0.000  0.667  0.500
Au  0.333  0.000  0.500
Au  0.333  0.333  0.500
Au  0.667  0.000  0.500
Au  0.667  0.667  0.500


# 9
Compound: CaAc3Ga4
Source: Alexandria
Functional: PBE
Structure: optimized geometry

* crystal system: orthorhombic
* calculated total energy: -29.22 eV/cell
* formation enthalpy at 0 K: -348 meV/atom

Cell: 9.913 9.913 9.913 Å, 156.46 138.20 48.53°
Sites, in units of the cell vectors:
Ca  0.000  0.000  0.000
Ac  0.203  0.703  0.500
Ac  0.500  0.500  0.000
Ac  0.797  0.297  0.500
Ga  0.185  0.872  0.313
Ga  0.440  0.128  0.313
Ga  0.560  0.872  0.687
Ga  0.815  0.128  0.687